(1)
Below is a PBEsol-optimized structure of MnCo2Tc, with properties calculated at the meta-GGA SCAN level.

Lattice parameters (Å, degrees): 2.501 3.986 4.395 90.00 90.00 90.00
Site moments in Bohr magnetons follow the coordinates.
Atoms (fractional coordinates):
Mn 0.500 0.000 0.551  2.23
Co 0.000 0.000 0.027  -0.62
Co 0.000 0.500 0.710  -1.01
Tc 0.500 0.500 0.212  -0.20

Calculated values
**Energy of formation from the pure elements**: 133 meV per atom



(2)
Below is a PBEsol-optimized structure of K3SiNi, with properties calculated at the meta-GGA SCAN level.

Lattice parameters (Å, degrees): 5.841 5.841 5.841 90.00 90.00 90.00
Site moments in Bohr magnetons follow the coordinates.
Atoms (fractional coordinates):
Ni 0.000 0.000 0.000  0.67
K 0.000 0.500 0.000  0.01
K 0.000 0.000 0.500  0.01
K 0.500 0.000 0.000  0.01
Si 0.500 0.500 0.500  0.57

Calculated values
**Raw formation energy**: 0.891 eV per atom



(3)
Below is a PBEsol-optimized structure of Cd3CoRe, with properties calculated at the meta-GGA SCAN level.

Lattice parameters (Å, degrees): 5.085 5.085 5.085 90.00 90.00 90.00
Site moments in Bohr magnetons follow the coordinates.
Atoms (fractional coordinates):
Re 0.000 0.000 0.000  1.41
Co 0.500 0.500 0.500  2.48
Cd 0.000 0.500 0.000  0.01
Cd 0.000 0.000 0.500  0.01
Cd 0.500 0.000 0.000  0.01

Calculated values
**Energy of formation from the pure elements**: 1674 meV per atom



(4)
Below is a PBEsol-optimized structure of RbGeBr3, with properties calculated at the meta-GGA SCAN level.

Lattice parameters (Å, degrees): 7.542 7.834 10.970 90.00 90.00 90.00
Atoms (fractional coordinates):
Rb 0.019 0.560 0.751
Rb 0.519 0.940 0.251
Rb 0.481 0.060 0.751
Rb 0.981 0.440 0.251
Ge 0.508 0.518 0.513
Ge 0.492 0.482 0.013
Ge 0.992 0.018 0.513
Ge 0.008 0.982 0.013
Br 0.698 0.214 0.030
Br 0.802 0.714 0.030
Br 0.198 0.286 0.530
Br 0.709 0.200 0.474
Br 0.791 0.700 0.474
Br 0.209 0.300 0.974
Br 0.556 0.501 0.747
Br 0.291 0.800 0.974
Br 0.056 0.999 0.247
Br 0.444 0.499 0.247
Br 0.944 0.001 0.747
Br 0.302 0.786 0.530

Calculated values
**Raw formation energy**: -1.154 eV per atom



(5)
Below is a PBEsol-optimized structure of Na2CuSn2, with properties calculated at the meta-GGA SCAN level.

Lattice parameters (Å, degrees): 5.150 6.810 6.810 90.00 90.00 90.00
Atoms (fractional coordinates):
Na 0.500 0.168 0.668
Na 0.500 0.668 0.832
Na 0.500 0.832 0.332
Na 0.500 0.332 0.168
Sn 0.000 0.350 0.850
Sn 0.000 0.850 0.650
Sn 0.000 0.650 0.150
Sn 0.000 0.150 0.350
Cu 0.000 0.000 0.000
Cu 0.000 0.500 0.500

Calculated values
**Energy of formation from the pure elements**: -115 meV per atom



(6)
Below is a PBEsol-optimized structure of KOs2Rh, with properties calculated at the meta-GGA SCAN level.

Lattice parameters (Å, degrees): 2.676 3.766 7.647 90.00 90.10 90.00
Atoms (fractional coordinates):
K 0.498 0.500 0.255
Os 0.001 0.000 0.909
Os 0.501 0.500 0.759
Rh 0.000 0.000 0.577

Calculated values
**Energy of formation from the pure elements**: 699 meV per atom
**Offset from the most stable computed form**: 2.1 kJ per mole of atoms



(7)
Below is a PBEsol-optimized structure of BeAuCl2, with properties calculated at the meta-GGA SCAN level.

Lattice parameters (Å, degrees): 3.033 3.033 9.630 80.94 80.94 60.00
Atoms (fractional coordinates):
Be 0.000 0.000 0.000
Au 0.500 0.500 0.500
Cl 0.288 0.288 0.136
Cl 0.712 0.712 0.864

Calculated values
**Raw formation energy**: -0.689 eV per atom
**Offset from the most stable computed form**: 0.0 kJ per mole of atoms



(8)
Below is a PBEsol-optimized structure of TiH, with properties calculated at the meta-GGA SCAN level.

Lattice parameters (Å, degrees): 2.896 2.896 4.567 90.00 90.00 90.00
Atoms (fractional coordinates):
H 0.000 0.000 0.250
H 0.000 0.000 0.750
Ti 0.000 0.500 0.000
Ti 0.500 0.000 0.500

Calculated values
**Raw total energy**: -40.711 eV per cell



(9)
Below is a PBEsol-optimized structure of MgIn2Ag, with properties calculated at the meta-GGA SCAN level.

Lattice parameters (Å, degrees): 3.309 4.167 6.117 90.00 90.00 90.00
Atoms (fractional coordinates):
Mg 0.000 0.000 0.514
Ag 0.500 0.500 0.738
In 0.000 0.000 0.990
In 0.500 0.500 0.258

Calculated values
**Energy of formation from the pure elements**: -65 meV per atom



(10)
Below is a PBEsol-optimized structure of K2NiPb, with properties calculated at the meta-GGA SCAN level.

Lattice parameters (Å, degrees): 4.372 4.372 5.535 90.00 90.00 90.00
Site moments in Bohr magnetons follow the coordinates.
Atoms (fractional coordinates):
K 0.000 0.500 0.000  0.00
K 0.500 0.000 0.000  0.00
Ni 0.500 0.500 0.500  0.86
Pb 0.000 0.000 0.500  -0.02

Calculated values
**Energy of formation from the pure elements**: 439 meV per atom



(11)
Below is a PBEsol-optimized structure of BiSbI2O, with properties calculated at the meta-GGA SCAN level.

Lattice parameters (Å, degrees): 6.073 6.022 6.022 90.00 90.00 90.00
Site moments in Bohr magnetons follow the coordinates.
Atoms (fractional coordinates):
I 0.000 0.000 0.500  0.07
I 0.000 0.500 0.000  0.07
Sb 0.500 0.000 0.000  0.69
Bi 0.000 0.000 0.000  0.00
O 0.500 0.500 0.500  1.39

Calculated values
**Raw formation energy**: 0.817 eV per atom



(12)
Below is a PBEsol-optimized structure of ZrGa2W, with properties calculated at the meta-GGA SCAN level.

Lattice parameters (Å, degrees): 4.513 4.513 4.513 60.00 60.00 60.00
Atoms (fractional coordinates):
Ga 0.250 0.250 0.250
Ga 0.750 0.750 0.750
Zr 0.000 0.000 0.000
W 0.500 0.500 0.500

Calculated values
**Energy of formation from the pure elements**: -38 meV per atom



(13)
Below is a PBEsol-optimized structure of AgAuN2O, with properties calculated at the meta-GGA SCAN level.

Lattice parameters (Å, degrees): 3.991 3.991 4.078 90.00 90.00 90.00
Site moments in Bohr magnetons follow the coordinates.
Atoms (fractional coordinates):
Au 0.500 0.500 0.500  0.25
O 0.000 0.000 0.500  0.41
Ag 0.000 0.000 0.000  0.08
N 0.000 0.500 0.000  1.04
N 0.500 0.000 0.000  1.04

Calculated values
**Raw formation energy**: 1.933 eV per atom



(14)
Below is a PBEsol-optimized structure of Re2PtW, with properties calculated at the meta-GGA SCAN level.

Lattice parameters (Å, degrees): 2.755 2.755 9.238 81.42 81.42 60.00
Atoms (fractional coordinates):
Pt 0.000 0.000 0.000
Re 0.250 0.250 0.250
Re 0.750 0.750 0.750
W 0.500 0.500 0.500

Calculated values
**Energy of formation from the pure elements**: 137 meV per atom
**Offset from the most stable computed form**: 29.3 kJ per mole of atoms



(15)
Below is a PBEsol-optimized structure of Ca2LaMn, with properties calculated at the meta-GGA SCAN level.

Lattice parameters (Å, degrees): 3.709 5.714 6.641 115.48 106.22 90.00
Site moments in Bohr magnetons follow the coordinates.
Atoms (fractional coordinates):
Ca 0.953 0.953 0.907  -0.06
Ca 0.751 0.251 0.501  -0.04
Mn 0.241 0.741 0.481  3.91
La 0.555 0.555 0.111  -0.22

Calculated values
**Energy of formation from the pure elements**: 153 meV per atom
**Offset from the most stable computed form**: 11.5 kJ per mole of atoms



(16)
Below is a PBEsol-optimized structure of Y5Ag, with properties calculated at the meta-GGA SCAN level.

Lattice parameters (Å, degrees): 3.607 5.415 8.724 90.00 101.93 90.00
Atoms (fractional coordinates):
Ag 0.005 0.000 0.009
Y 0.218 0.500 0.437
Y 0.348 0.000 0.695
Y 0.544 0.500 0.088
Y 0.663 0.000 0.327
Y 0.889 0.500 0.778

Calculated values
**Energy of formation from the pure elements**: 0 meV per atom
**Offset from the most stable computed form**: 8.9 kJ per mole of atoms



(17)
Below is a PBEsol-optimized structure of BaGaAu3, with properties calculated at the meta-GGA SCAN level.

Lattice parameters (Å, degrees): 4.962 4.962 4.962 90.00 90.00 90.00
Atoms (fractional coordinates):
Au 0.000 0.500 0.000
Au 0.000 0.000 0.500
Au 0.500 0.000 0.000
Ba 0.500 0.500 0.500
Ga 0.000 0.000 0.000

Calculated values
**Energy of formation from the pure elements**: -605 meV per atom



(18)
Below is a PBEsol-optimized structure of SrCaSbP2, with properties calculated at the meta-GGA SCAN level.

Lattice parameters (Å, degrees): 5.355 5.355 5.363 90.00 90.00 90.00
Atoms (fractional coordinates):
Sb 0.000 0.000 0.000
Ca 0.000 0.000 0.500
P 0.000 0.500 0.000
P 0.500 0.000 0.000
Sr 0.500 0.500 0.500

Calculated values
**Raw formation energy**: 0.147 eV per atom



(19)
Below is a PBEsol-optimized structure of TlReSe2, with properties calculated at the meta-GGA SCAN level.

Lattice parameters (Å, degrees): 4.730 4.730 4.730 60.00 60.00 60.00
Atoms (fractional coordinates):
Re 0.500 0.500 0.500
Se 0.000 0.000 0.000
Se 0.750 0.750 0.750
Tl 0.250 0.250 0.250

Calculated values
**Raw formation energy**: 1.333 eV per atom
**Offset from the most stable computed form**: 81.6 kJ per mole of atoms



(20)
Below is a PBEsol-optimized structure of YAsOs2, with properties calculated at the meta-GGA SCAN level.

Lattice parameters (Å, degrees): 3.075 3.075 8.494 79.57 79.57 60.00
Atoms (fractional coordinates):
Y 0.500 0.500 0.500
As 0.000 0.000 0.000
Os 0.260 0.260 0.219
Os 0.740 0.740 0.781

Calculated values
**Energy of formation from the pure elements**: 428 meV per atom



(21)
Below is a PBEsol-optimized structure of LiOsBr2, with properties calculated at the meta-GGA SCAN level.

Lattice parameters (Å, degrees): 3.189 3.556 7.221 104.25 102.76 90.00
Atoms (fractional coordinates):
Br 0.973 0.973 0.945
Br 0.715 0.215 0.430
Li 0.538 0.538 0.075
Os 0.275 0.775 0.550

Calculated values
**Raw formation energy**: 0.397 eV per atom
**Offset from the most stable computed form**: 13.7 kJ per mole of atoms



(22)
Below is a PBEsol-optimized structure of SrCaAsBr2, with properties calculated at the meta-GGA SCAN level.

Lattice parameters (Å, degrees): 5.353 5.353 5.686 90.00 90.00 90.00
Site moments in Bohr magnetons follow the coordinates.
Atoms (fractional coordinates):
Sr 0.500 0.500 0.500  0.00
As 0.000 0.000 0.500  0.39
Ca 0.000 0.000 0.000  0.03
Br 0.000 0.500 0.000  0.04
Br 0.500 0.000 0.000  0.04

Calculated values
**Raw formation energy**: -1.322 eV per atom



(23)
Below is a PBEsol-optimized structure of SrIn2Fe, with properties calculated at the meta-GGA SCAN level.

Lattice parameters (Å, degrees): 3.406 3.406 7.699 90.00 90.00 90.00
Site moments in Bohr magnetons follow the coordinates.
Atoms (fractional coordinates):
Fe 0.500 0.500 0.500  2.63
In 0.000 0.000 0.688  -0.05
In 0.000 0.000 0.312  -0.05
Sr 0.500 0.500 0.000  -0.01

Calculated values
**Energy of formation from the pure elements**: -72 meV per atom



(24)
Below is a PBEsol-optimized structure of Zr2CuW, with properties calculated at the meta-GGA SCAN level.

Lattice parameters (Å, degrees): 2.796 2.796 8.920 90.00 90.00 88.15
Atoms (fractional coordinates):
Cu 0.000 0.000 0.483
W 0.500 0.500 0.284
Zr 0.000 0.000 0.022
Zr 0.500 0.500 0.711

Calculated values
**Energy of formation from the pure elements**: 228 meV per atom



(25)
Below is a PBEsol-optimized structure of CuAu8, with properties calculated at the meta-GGA SCAN level.

Lattice parameters (Å, degrees): 3.999 6.399 6.399 84.40 71.79 71.79
Atoms (fractional coordinates):
Au 0.000 0.671 0.329
Au 0.000 0.329 0.671
Au 0.329 0.671 0.671
Au 0.338 0.324 0.000
Au 0.338 0.000 0.324
Au 0.671 0.329 0.329
Au 0.662 0.000 0.676
Au 0.662 0.676 0.000
Cu 0.000 0.000 0.000

Calculated values
**Energy of formation from the pure elements**: -17 meV per atom



(26)
Below is a PBEsol-optimized structure of ZnIrOs2, with properties calculated at the meta-GGA SCAN level.

Lattice parameters (Å, degrees): 3.730 3.730 4.015 90.00 90.00 90.00
Atoms (fractional coordinates):
Ir 0.000 0.000 0.500
Os 0.000 0.500 0.000
Os 0.500 0.000 0.000
Zn 0.500 0.500 0.500

Calculated values
**Energy of formation from the pure elements**: 423 meV per atom



(27)
Below is a PBEsol-optimized structure of Be3CuH, with properties calculated at the meta-GGA SCAN level.

Lattice parameters (Å, degrees): 3.337 3.337 3.337 90.00 90.00 90.00
Atoms (fractional coordinates):
Be 0.000 0.500 0.000
Be 0.000 0.000 0.500
Be 0.500 0.000 0.000
Cu 0.500 0.500 0.500
H 0.000 0.000 0.000

Calculated values
**Raw total energy**: -31.234 eV per cell



(28)
Below is a PBEsol-optimized structure of Te2PO, with properties calculated at the meta-GGA SCAN level.

Lattice parameters (Å, degrees): 3.638 3.638 8.001 76.86 76.86 60.00
Atoms (fractional coordinates):
P 0.500 0.500 0.500
Te 0.912 0.912 0.263
Te 0.088 0.088 0.737
O 0.000 0.000 0.000

Calculated values
**Raw formation energy**: 0.140 eV per atom
**Offset from the most stable computed form**: 0.0 kJ per mole of atoms



no.,size of the total moment (μB per cell)
1,0.44
2,3.00
3,4.12
4,0.00
5,0.00
6,0.00
7,0.00
8,0.00
9,0.00
10,0.77
11,3.65
12,0.00
13,3.55
14,0.00
15,3.21
16,0.00
17,0.00
18,0.00
19,0.00
20,0.00
21,0.00
22,1.01
23,2.47
24,0.00
25,0.00
26,0.00
27,0.00
28,0.00